## Sr2SiAu6 (GGA-PBE)

Data for a geometry-optimized Sr2SiAu6 structure.

Lattice parameters (Å, degrees): 6.5701 6.5701 6.5701 60.00 60.00 60.00
Fractional positions:
Au 0.7280 0.2720 0.2720
Sr 0.2500 0.2500 0.2500
Si 0.0000 0.0000 0.0000
Sr 0.7500 0.7500 0.7500
Au 0.2720 0.7280 0.2720
Au 0.2720 0.2720 0.7280
Au 0.7280 0.7280 0.2720
Au 0.7280 0.2720 0.7280
Au 0.2720 0.7280 0.7280

Computed properties:
E = -3.687 eV/atom
Density of states at the Fermi level = 0.19 states/eV per atom

## Sr2Si7Au12 (GGA-PBE)

Data for a geometry-optimized Sr2Si7Au12 structure.

Lattice parameters (Å, degrees): 4.5092 10.1319 10.1319 120.00 90.00 90.00
Fractional positions:
Au 0.7892 0.8770 0.7397
Si 0.5000 0.0000 0.0000
Si 0.2799 0.7151 0.6060
Sr 0.7600 0.6667 0.3333
Au 0.7892 0.2603 0.1373
Sr 0.2400 0.3333 0.6667
Au 0.2108 0.7397 0.8627
Au 0.2479 0.6144 0.0672
Au 0.7521 0.0672 0.4528
Au 0.7521 0.5472 0.6144
Si 0.2799 0.3940 0.1092
Au 0.7892 0.8627 0.1230
Si 0.7201 0.6060 0.8908
Si 0.7201 0.1092 0.7151
Au 0.2479 0.4528 0.3856
Si 0.7201 0.2849 0.3940
Au 0.2479 0.9328 0.5472
Au 0.7521 0.3856 0.9328
Au 0.2108 0.1373 0.8770
Au 0.2108 0.1230 0.2603
Si 0.2799 0.8908 0.2849

Computed properties:
E = -4.068 eV/atom
Density of states at the Fermi level = 0.33 states/eV per atom

## SrSiAu4 (GGA-PBE)

Data for a geometry-optimized SrSiAu4 structure.

Lattice parameters (Å, degrees): 4.5931 5.7770 10.3148 90.00 102.86 90.00
Fractional positions:
Au 0.7924 0.9965 0.5847
Au 0.0000 0.0000 0.0000
Au 0.5561 0.7500 0.1122
Sr 0.3788 0.7500 0.7576
Au 0.7924 0.5035 0.5847
Si 0.1081 0.7500 0.2162
Au 0.0000 0.5000 0.0000
Au 0.2076 0.0035 0.4153
Au 0.2076 0.4965 0.4153
Au 0.4439 0.2500 0.8878
Si 0.8919 0.2500 0.7838
Sr 0.6212 0.2500 0.2424

Computed properties:
Density of states at the Fermi level = 0.29 states/eV per atom
Excess energy over the best structure of this formula in the dataset = 0.0 meV per atom

## Sr2SiAu (GGA-PBE)

Data for a geometry-optimized Sr2SiAu structure.

Lattice parameters (Å, degrees): 5.9188 5.9188 4.5540 90.01 90.01 47.88
Fractional positions:
Sr 0.0188 0.0188 0.1253
Au 0.4281 0.4281 0.6250
Si 0.3226 0.3226 0.1248
Sr 0.7305 0.7305 0.6250

Computed properties:
E = -3.558 eV/atom
Density of states at the Fermi level = 0.80 states/eV per atom

## SrSiAu2 (GGA-PBE)

Data for a geometry-optimized SrSiAu2 structure.

Lattice parameters (Å, degrees): 4.4474 4.4474 6.1322 68.82 68.82 59.96
Fractional positions:
Si 0.4342 0.4342 0.6978
Au 0.7855 0.7855 0.6436
Au 0.0386 0.0386 0.8845
Sr 0.2416 0.2416 0.2740

Computed properties:
E = -3.830 eV/atom
Density of states at the Fermi level = 0.44 states/eV per atom

## SrSiAu2 (GGA-PBE)

Data for a geometry-optimized SrSiAu2 structure.

Lattice parameters (Å, degrees): 3.6748 3.6831 6.8048 90.00 90.00 90.00
Fractional positions:
Au 0.5000 0.5000 0.3059
Au 0.0000 0.0000 0.0309
Si 0.0000 0.0000 0.4024
Sr 0.5000 0.5000 0.7608

Computed properties:
E = -3.673 eV/atom
Density of states at the Fermi level = 0.54 states/eV per atom

Q: What is the density of states at the Fermi level in the sixth record?
A: 0.54 states/eV per atom

Q: What is the density of states at the Fermi level in the fourth record?
A: 0.80 states/eV per atom

Q: The highest density of states at the Fermi level belongs to which entry?
A: Sr2SiAu

Q: density of states at the Fermi level of number 1 (Sr2SiAu6)?
A: 0.19 states/eV per atom